1.
This record from Alexandria describes a relaxed LaCuNiP2 crystal. The functional is PBE.

CIF file:
```
data_LaCuNiP2
_space_group_name_H-M_alt 'I -4 m 2'
_space_group_IT_number 119
_space_group_name_Hall 'I -4 -2'
_cell_length_a 3.935
_cell_length_b 3.935
_cell_length_c 10.632
_cell_angle_alpha 90.00
_cell_angle_beta 90.00
_cell_angle_gamma 90.00
loop_
_atom_site_label
_atom_site_fract_x
_atom_site_fract_y
_atom_site_fract_z
La1 0.000 0.000 0.000
Cu1 0.000 0.500 0.750
Ni1 0.000 0.500 0.250
P1 0.000 0.000 0.365
```

Computed properties:
calculated volume	16.464	A^3/atom
size of the total moment	0.00	μB per atom
energy relative to the elements	-857	meV/atom


2.
This record from Alexandria describes a relaxed La2CuNi4P3 crystal. The functional is PBE.

CIF file:
```
data_La2CuNi4P3
_space_group_name_H-M_alt 'P -4 m 2'
_space_group_IT_number 115
_cell_length_a 4.071
_cell_length_b 4.071
_cell_length_c 9.375
_cell_angle_alpha 90.00
_cell_angle_beta 90.00
_cell_angle_gamma 90.00
loop_
_space_group_symop_operation_xyz
'x,y,z'
'y,-x,-z'
'-x,-y,z'
'-y,x,-z'
'-x,y,z'
'-y,-x,-z'
'x,-y,z'
'y,x,-z'
loop_
_atom_site_label
_atom_site_fract_x
_atom_site_fract_y
_atom_site_fract_z
La1 0.000 0.500 0.248
Cu1 0.000 0.000 0.500
Ni1 0.000 0.000 0.000
Ni2 0.000 0.500 0.625
Ni3 0.500 0.500 0.000
P1 0.000 0.500 0.872
P2 0.500 0.500 0.500
```

Computed properties:
calculated volume	15.536	A^3/atom
size of the total moment	0.00	μB per atom
energy relative to the elements	-865	meV/atom